[1]
# BaIn2BiTe

A relaxed BaIn2BiTe crystal (PBE, Alexandria via LeMat-Bulk).

a b c (Å): 6.570 6.258 6.570
angles (deg): 90.00 90.00 90.00
Last column: magnetic moment on the atom in μB.
Sites, in units of the cell vectors:
1 Bi 0.500 0.500 0.500  0.92
2 Te 0.000 0.500 0.000  0.12
3 In 0.500 0.000 0.000  -0.04
4 In 0.000 0.000 0.500  -0.01
5 Ba 0.000 0.000 0.000  -0.03

Output
V, Å³/cell: 270
Formation energy (no corrections), eV per formula unit: 2.94
Symmetry: P4/mmm (123)


[2]
# Ba2InBiTe5

A relaxed Ba2InBiTe5 crystal (PBE, Alexandria via LeMat-Bulk).

a b c (Å): 4.649 10.703 14.165
angles (deg): 90.00 90.00 102.54
Sites, in units of the cell vectors:
1 Ba 0.127 0.254 0.311
2 Ba 0.113 0.226 0.683
3 Ba 0.873 0.746 0.811
4 Ba 0.887 0.774 0.183
5 Te 0.718 0.437 0.171
6 Te 0.308 0.617 0.364
7 Te 0.497 0.995 0.771
8 Te 0.503 0.005 0.271
9 Te 0.692 0.383 0.864
10 Te 0.643 0.286 0.500
11 Te 0.357 0.714 0.000
12 Te 0.050 0.099 0.060
13 Te 0.950 0.901 0.560
14 Te 0.282 0.563 0.671
15 Bi 0.215 0.430 0.022
16 Bi 0.785 0.570 0.522
17 In 0.436 0.872 0.442
18 In 0.564 0.128 0.942

Output
V, Å³/cell: 688
Formation energy (no corrections), eV per formula unit: -8.76
Symmetry: Cmc2_1 (36)


[3]
# BaTiIn2Bi

A relaxed BaTiIn2Bi crystal (PBE, Alexandria via LeMat-Bulk).

a b c (Å): 5.448 5.448 5.430
angles (deg): 90.00 90.00 90.00
Sites, in units of the cell vectors:
1 Ba 0.500 0.500 0.500
2 In 0.500 0.000 0.000
3 In 0.000 0.500 0.000
4 Bi 0.000 0.000 0.500
5 Ti 0.000 0.000 0.000

Output
V, Å³/cell: 161
Symmetry: P4/mmm (123)
E_form, eV/atom: -0.26


> Number 2 is which compound?

Ba2InBiTe5